## Li3InS (GGA-PBEsol)

Data for an optimized crystal structure of Li3InS.

The value obtained for the uncorrected energy is -16.27 eV/f.u. As for the crystal system: cubic.

Structure (CIF):
```
data_Li3InS
_cell_length_a 4.6143
_cell_length_b 4.6143
_cell_length_c 4.6143
_cell_angle_alpha 90.00
_cell_angle_beta 90.00
_cell_angle_gamma 90.00
_symmetry_space_group_name_H-M 'P 1'
_symmetry_Int_Tables_number 1
loop_
_symmetry_equiv_pos_as_xyz
'x,y,z'
loop_
_atom_site_label
_atom_site_type_symbol
_atom_site_fract_x
_atom_site_fract_y
_atom_site_fract_z
_atom_site_occupancy
Li1 Li 0.0000 0.5000 0.0000 1
In1 In 0.5000 0.5000 0.5000 1
Li2 Li 0.0000 0.0000 0.5000 1
Li3 Li 0.5000 0.0000 0.0000 1
S1 S 0.0000 0.0000 0.0000 1
```

***

## Li2In2SiS6 (GGA-PBEsol)

Data for an optimized crystal structure of Li2In2SiS6.

The value obtained for the uncorrected energy is -51.60 eV/f.u. As for the crystal system: monoclinic.

Structure (CIF):
```
data_Li2In2SiS6
_cell_length_a 6.9667
_cell_length_b 6.9667
_cell_length_c 11.9668
_cell_angle_alpha 90.69
_cell_angle_beta 106.33
_cell_angle_gamma 119.76
_symmetry_space_group_name_H-M 'P 1'
_symmetry_Int_Tables_number 1
loop_
_symmetry_equiv_pos_as_xyz
'x,y,z'
loop_
_atom_site_label
_atom_site_type_symbol
_atom_site_fract_x
_atom_site_fract_y
_atom_site_fract_z
_atom_site_occupancy
S1 S 0.4949 0.6627 0.6201 1
Li1 Li 0.1057 0.6017 0.5017 1
S2 S 0.0755 0.6855 0.7997 1
Li2 Li 0.6493 0.4048 0.6617 1
In1 In 0.3897 0.1207 0.3122 1
In2 In 0.6915 0.9225 0.8122 1
Li3 Li 0.4000 0.3960 0.0017 1
Li4 Li 0.7568 0.0124 0.1617 1
S3 S 0.1023 0.4329 0.0648 1
S4 S 0.0987 0.7154 0.3050 1
Si1 Si 0.2446 0.5418 0.2511 1
In3 In 0.0928 0.7698 0.0073 1
S5 S 0.7275 0.2644 0.4959 1
S6 S 0.1319 0.9625 0.5648 1
S7 S 0.6142 0.7242 0.2997 1
Si2 Si 0.2093 0.0065 0.7511 1
S8 S 0.7315 0.7684 0.9959 1
S9 S 0.4575 0.1252 0.1201 1
S10 S 0.5795 0.2058 0.8315 1
In4 In 0.7375 0.9145 0.5073 1
S11 S 0.0897 0.2063 0.8050 1
S12 S 0.1257 0.2520 0.3315 1
```

***

## LiInSb2 (GGA-PBEsol)

Data for an optimized crystal structure of LiInSb2.

The value obtained for the uncorrected energy is -14.74 eV/f.u. As for the crystal system: monoclinic.

Structure (CIF):
```
data_LiInSb2
_cell_length_a 3.1620
_cell_length_b 4.3416
_cell_length_c 7.1668
_cell_angle_alpha 90.00
_cell_angle_beta 90.07
_cell_angle_gamma 90.00
_symmetry_space_group_name_H-M 'P 1'
_symmetry_Int_Tables_number 1
loop_
_symmetry_equiv_pos_as_xyz
'x,y,z'
loop_
_atom_site_label
_atom_site_type_symbol
_atom_site_fract_x
_atom_site_fract_y
_atom_site_fract_z
_atom_site_occupancy
Sb1 Sb 0.0007 0.0000 0.7073 1
Li1 Li 0.5000 0.5000 0.5000 1
In1 In 0.5000 0.5000 0.0000 1
Sb2 Sb 0.9993 0.0000 0.2927 1
```

***

## LiInSb2 (GGA-PBEsol)

Data for an optimized crystal structure of LiInSb2.

The value obtained for the uncorrected energy is -14.66 eV/f.u. As for the crystal system: orthorhombic.

Structure (CIF):
```
data_LiInSb2
_cell_length_a 4.4003
_cell_length_b 4.7945
_cell_length_c 5.6364
_cell_angle_alpha 115.17
_cell_angle_beta 112.98
_cell_angle_gamma 90.00
_symmetry_space_group_name_H-M 'P 1'
_symmetry_Int_Tables_number 1
loop_
_symmetry_equiv_pos_as_xyz
'x,y,z'
loop_
_atom_site_label
_atom_site_type_symbol
_atom_site_fract_x
_atom_site_fract_y
_atom_site_fract_z
_atom_site_occupancy
Li1 Li 0.0000 0.5000 0.0000 1
In1 In 0.5000 0.0000 0.0000 1
Sb1 Sb 0.2526 0.2526 0.5051 1
Sb2 Sb 0.7474 0.7474 0.4949 1
```

***

## LiIn4Sb (GGA-PBEsol)

Data for an optimized crystal structure of LiIn4Sb.

The value obtained for the uncorrected energy is -18.03 eV/f.u. As for the crystal system: cubic.

Structure (CIF):
```
data_LiIn4Sb
_cell_length_a 6.0840
_cell_length_b 6.0840
_cell_length_c 6.0840
_cell_angle_alpha 60.00
_cell_angle_beta 60.00
_cell_angle_gamma 60.00
_symmetry_space_group_name_H-M 'P 1'
_symmetry_Int_Tables_number 1
loop_
_symmetry_equiv_pos_as_xyz
'x,y,z'
loop_
_atom_site_label
_atom_site_type_symbol
_atom_site_fract_x
_atom_site_fract_y
_atom_site_fract_z
_atom_site_occupancy
Li1 Li 0.7500 0.7500 0.7500 1
In1 In 0.3751 0.3751 0.3751 1
In2 In 0.3751 0.8747 0.3751 1
In3 In 0.8747 0.3751 0.3751 1
In4 In 0.3751 0.3751 0.8747 1
Sb1 Sb 0.0000 0.0000 0.0000 1
```

***

## LiInSb2 (GGA-PBEsol)

Data for an optimized crystal structure of LiInSb2.

The value obtained for the uncorrected energy is -14.65 eV/f.u. As for the crystal system: orthorhombic.

Structure (CIF):
```
data_LiInSb2
_cell_length_a 4.5868
_cell_length_b 4.6273
_cell_length_c 4.5613
_cell_angle_alpha 90.00
_cell_angle_beta 90.00
_cell_angle_gamma 90.00
_symmetry_space_group_name_H-M 'P 1'
_symmetry_Int_Tables_number 1
loop_
_symmetry_equiv_pos_as_xyz
'x,y,z'
loop_
_atom_site_label
_atom_site_type_symbol
_atom_site_fract_x
_atom_site_fract_y
_atom_site_fract_z
_atom_site_occupancy
Sb1 Sb 0.5000 0.5000 0.0000 1
In1 In 0.5000 0.0000 0.5000 1
Sb2 Sb 0.0000 0.0000 0.0000 1
Li1 Li 0.0000 0.5000 0.5000 1
```

***

## Li3InSb (GGA-PBEsol)

Data for an optimized crystal structure of Li3InSb.

The value obtained for the uncorrected energy is -14.08 eV/f.u. As for the crystal system: cubic.

Structure (CIF):
```
data_Li3InSb
_cell_length_a 5.0966
_cell_length_b 5.0966
_cell_length_c 5.0966
_cell_angle_alpha 90.00
_cell_angle_beta 90.00
_cell_angle_gamma 90.00
_symmetry_space_group_name_H-M 'P 1'
_symmetry_Int_Tables_number 1
loop_
_symmetry_equiv_pos_as_xyz
'x,y,z'
loop_
_atom_site_label
_atom_site_type_symbol
_atom_site_fract_x
_atom_site_fract_y
_atom_site_fract_z
_atom_site_occupancy
Sb1 Sb 0.0000 0.0000 0.0000 1
Li1 Li 0.0000 0.5000 0.0000 1
Li2 Li 0.0000 0.0000 0.5000 1
In1 In 0.5000 0.5000 0.5000 1
Li3 Li 0.5000 0.0000 0.0000 1
```

***

## LiScIn2 (GGA-PBEsol)

Data for an optimized crystal structure of LiScIn2.

The formation energy comes out at -0.44 eV/atom. As for the crystal system: tetragonal.

Structure (CIF):
```
data_LiScIn2
_cell_length_a 3.6249
_cell_length_b 4.7553
_cell_length_c 4.7553
_cell_angle_alpha 90.00
_cell_angle_beta 90.00
_cell_angle_gamma 90.00
_symmetry_space_group_name_H-M 'P 1'
_symmetry_Int_Tables_number 1
loop_
_symmetry_equiv_pos_as_xyz
'x,y,z'
loop_
_atom_site_label
_atom_site_type_symbol
_atom_site_fract_x
_atom_site_fract_y
_atom_site_fract_z
_atom_site_occupancy
In1 In 0.0000 0.0000 0.5000 1
In2 In 0.0000 0.5000 0.0000 1
Sc1 Sc 0.5000 0.0000 0.0000 1
Li1 Li 0.5000 0.5000 0.5000 1
```